1.
Material: ScTa2Si
Method: DFT, PBE-GGA
State: optimized geometry

CIF file:
```
data_ScTa2Si
_space_group_name_H-M_alt 'P 4/m m m'
_space_group_IT_number 123
_space_group_name_Hall '-P 4 2'
_cell_length_a 3.407
_cell_length_b 3.407
_cell_length_c 6.207
_cell_angle_alpha 90.00
_cell_angle_beta 90.00
_cell_angle_gamma 90.00
loop_
_atom_site_label
_atom_site_type_symbol
_atom_site_fract_x
_atom_site_fract_y
_atom_site_fract_z
_atom_site_occupancy
Sc1 Sc 0.000 0.000 0.000 1
Ta1 Ta 0.500 0.500 0.294 1
Si1 Si 0.000 0.000 0.500 1
```

Summary:
D(E_F), states/eV/f.u.: 2.862
V, Å³/atom: 18.015
Formation energy from raw total energies, meV per atom: -135

=====

2.
Material: ScTa3Si
Method: DFT, PBE-GGA
State: optimized geometry

CIF file:
```
data_ScTa3Si
_space_group_name_H-M_alt 'P m -3 m'
_space_group_IT_number 221
_space_group_name_Hall '-P 4 2 3'
_cell_length_a 4.712
_cell_length_b 4.712
_cell_length_c 4.712
_cell_angle_alpha 90.00
_cell_angle_beta 90.00
_cell_angle_gamma 90.00
loop_
_atom_site_label
_atom_site_type_symbol
_atom_site_fract_x
_atom_site_fract_y
_atom_site_fract_z
_atom_site_occupancy
Sc1 Sc 0.000 0.000 0.000 1
Ta1 Ta 0.000 0.500 0.500 1
Si1 Si 0.500 0.500 0.500 1
```

Summary:
Relative energy among the computed polymorphs, meV per atom: 0.0
D(E_F), states/eV/f.u.: 4.853
V, Å³/atom: 20.919
Formation energy from raw total energies, meV per atom: 536

=====

3.
Material: ScTaSi2
Method: DFT, PBE-GGA
State: optimized geometry

CIF file:
```
data_ScTaSi2
_space_group_name_H-M_alt 'I -4 m 2'
_space_group_IT_number 119
_space_group_name_Hall 'I -4 -2'
_cell_length_a 3.823
_cell_length_b 3.823
_cell_length_c 8.899
_cell_angle_alpha 90.00
_cell_angle_beta 90.00
_cell_angle_gamma 90.00
loop_
_atom_site_label
_atom_site_type_symbol
_atom_site_fract_x
_atom_site_fract_y
_atom_site_fract_z
_atom_site_occupancy
Sc1 Sc 0.000 0.000 0.000 1
Ta1 Ta 0.000 0.500 0.750 1
Si1 Si 0.000 0.000 0.500 1
Si2 Si 0.000 0.500 0.250 1
```

Summary:
Relative energy among the computed polymorphs, meV per atom: 294.7
D(E_F), states/eV/f.u.: 2.474
V, Å³/atom: 16.261
Formation energy from raw total energies, meV per atom: -360

=====

4.
Material: ScTa2Si
Method: DFT, PBE-GGA
State: optimized geometry

CIF file:
```
data_ScTa2Si
_space_group_name_H-M_alt 'P 1 m 1'
_space_group_IT_number 6
_space_group_name_Hall 'P -2y'
_cell_length_a 3.450
_cell_length_b 4.227
_cell_length_c 5.370
_cell_angle_alpha 90.00
_cell_angle_beta 108.46
_cell_angle_gamma 90.00
loop_
_atom_site_label
_atom_site_type_symbol
_atom_site_fract_x
_atom_site_fract_y
_atom_site_fract_z
_atom_site_occupancy
Sc1 Sc 0.000 0.000 0.000 1
Ta1 Ta 0.283 0.500 0.574 1
Ta2 Ta 0.727 0.000 0.462 1
Si1 Si 0.569 0.500 0.142 1
```

Summary:
D(E_F), states/eV/f.u.: 1.998
V, Å³/atom: 18.572
Formation energy from raw total energies, meV per atom: -183

=====

5.
Material: ScTaSi4
Method: DFT, PBE-GGA
State: optimized geometry

CIF file:
```
data_ScTaSi4
_space_group_name_H-M_alt 'F -4 3 m'
_space_group_IT_number 216
_space_group_name_Hall 'F -4 2 3'
_cell_length_a 7.068
_cell_length_b 7.068
_cell_length_c 7.068
_cell_angle_alpha 90.00
_cell_angle_beta 90.00
_cell_angle_gamma 90.00
loop_
_atom_site_label
_atom_site_type_symbol
_atom_site_fract_x
_atom_site_fract_y
_atom_site_fract_z
_atom_site_occupancy
Sc1 Sc 0.000 0.000 0.000 1
Ta1 Ta 0.250 0.250 0.250 1
Si1 Si 0.125 0.125 0.625 1
```

Summary:
D(E_F), states/eV/f.u.: 2.254
V, Å³/atom: 14.714
Formation energy from raw total energies, meV per atom: -44

=====

6.
Material: ScTaSi
Method: DFT, PBE-GGA
State: optimized geometry

CIF file:
```
data_ScTaSi
_space_group_name_H-M_alt 'F m m 2'
_space_group_IT_number 42
_space_group_name_Hall 'F 2 -2'
_cell_length_a 3.779
_cell_length_b 4.587
_cell_length_c 12.375
_cell_angle_alpha 90.00
_cell_angle_beta 90.00
_cell_angle_gamma 90.00
loop_
_atom_site_label
_atom_site_type_symbol
_atom_site_fract_x
_atom_site_fract_y
_atom_site_fract_z
_atom_site_occupancy
Sc1 Sc 0.000 0.000 0.000 1
Ta1 Ta 0.000 0.000 0.309 1
Si1 Si 0.000 0.000 0.664 1
```

Summary:
D(E_F), states/eV/f.u.: 2.409
V, Å³/atom: 17.875
Formation energy from raw total energies, meV per atom: -212